(1)
Density functional theory data (PBE) for a geometry-optimized VOsRh6 structure.

Formation energy   -127 meV per atom
Uncorrected energy   -8.18 eV/atom
Total moment   0.00 μB per formula unit

Cell and atoms, written as CIF:
```
data_VOsRh6
_chemical_formula_sum 'V1 Os1 Rh6'
_cell_length_a 5.405
_cell_length_b 5.405
_cell_length_c 3.841
_cell_angle_alpha 90.00
_cell_angle_beta 90.00
_cell_angle_gamma 90.00
_space_group_name_H-M_alt 'P 4/m m m'
_space_group_IT_number 123
_space_group_name_Hall '-P 4 2'
loop_
_atom_site_label
_atom_site_fract_x
_atom_site_fract_y
_atom_site_fract_z
V1 0.000 0.000 0.000
Os1 0.500 0.500 0.000
Rh1 0.000 0.500 0.000
Rh2 0.249 0.249 0.500
```

***

(2)
Density functional theory data (PBE) for a geometry-optimized VOsRh3 structure.

Formation energy   1430 meV per atom
Energy above the lowest structure with this stoichiometry   1635.2 meV per atom
Uncorrected energy   -7.05 eV/atom
Total moment   3.42 μB per formula unit

Cell and atoms, written as CIF:
```
data_VOsRh3
_chemical_formula_sum 'V1 Os1 Rh3'
_cell_length_a 4.682
_cell_length_b 4.682
_cell_length_c 4.682
_cell_angle_alpha 90.00
_cell_angle_beta 90.00
_cell_angle_gamma 90.00
_space_group_name_H-M_alt 'P m -3 m'
_space_group_IT_number 221
_space_group_name_Hall '-P 4 2 3'
loop_
_atom_site_label
_atom_site_fract_x
_atom_site_fract_y
_atom_site_fract_z
V1 0.000 0.000 0.000
Os1 0.500 0.500 0.500
Rh1 0.000 0.500 0.500
```

***

(3)
Density functional theory data (PBE) for a geometry-optimized V4OsRh3 structure.

Formation energy   -299 meV per atom
Uncorrected energy   -9.02 eV/atom
Total moment   0.00 μB per formula unit

Cell and atoms, written as CIF:
```
data_V4OsRh3
_chemical_formula_sum 'V8 Os2 Rh6'
_cell_length_a 8.687
_cell_length_b 5.559
_cell_length_c 4.573
_cell_angle_alpha 90.00
_cell_angle_beta 90.00
_cell_angle_gamma 90.00
_space_group_name_H-M_alt 'P m m a'
_space_group_IT_number 51
_space_group_name_Hall '-P 2a 2a'
loop_
_atom_site_label
_atom_site_fract_x
_atom_site_fract_y
_atom_site_fract_z
V1 0.000 0.249 0.000
V2 0.250 0.246 0.380
Os1 0.000 0.000 0.500
Rh1 0.000 0.500 0.500
Rh2 0.250 0.000 0.882
Rh3 0.250 0.500 0.884
```

***

(4)
Density functional theory data (PBE) for a geometry-optimized V6Os5Rh structure.

Formation energy   -225 meV per atom
Uncorrected energy   -10.08 eV/atom
Total moment   0.00 μB per formula unit

Cell and atoms, written as CIF:
```
data_V6Os5Rh
_chemical_formula_sum 'V12 Os10 Rh2'
_cell_length_a 4.215
_cell_length_b 6.210
_cell_length_c 12.679
_cell_angle_alpha 90.00
_cell_angle_beta 90.00
_cell_angle_gamma 90.00
_space_group_name_H-M_alt 'I m m m'
_space_group_IT_number 71
_space_group_name_Hall '-I 2 2'
loop_
_atom_site_label
_atom_site_fract_x
_atom_site_fract_y
_atom_site_fract_z
V1 0.000 0.238 0.000
V2 0.000 0.255 0.331
Os1 0.000 0.000 0.172
Os2 0.000 0.500 0.157
Os3 0.000 0.500 0.500
Rh1 0.000 0.000 0.500
```